No. 1
VASP calculation (GGA-PBE) on an optimized crystal structure of Tb2ZnSi2Ru5.

The space group is P4/mbm (No. 127) and the conventional cell measures 9.928, 9.928 and 3.281 Å, with angles of 90.00, 90.00 and 90.00 degrees. The inequivalent atoms are Tb at (0.173, 0.327, 0.000), Zn at (0.000, 0.000, 0.000), Si at (0.128, 0.628, 0.000), Ru at (0.000, 0.500, 0.500) and Ru at (0.068, 0.793, 0.500).

The uncorrected formation energy comes out at -0.512 eV per atom. The calculated total energy is -145.76 eV for the cell shown.

No. 2
VASP calculation (GGA-PBE) on an optimized crystal structure of La2Pr4Ge3H2.

The space group is I4/mmm (No. 139) and the conventional cell measures 4.769, 4.769 and 24.760 Å, with angles of 90.00, 90.00 and 90.00 degrees. The inequivalent atoms are La at (0.000, 0.000, 0.203), Pr at (0.000, 0.500, 0.080), Ge at (0.000, 0.000, 0.329), Ge at (0.000, 0.000, 0.500) and H at (0.000, 0.000, 0.101).

The calculated total energy is -111.73 eV for the cell shown.

No. 3
VASP calculation (GGA-PBE) on an optimized crystal structure of HgOs2Pt.

The space group is Cmmm (No. 65) and the conventional cell measures 2.766, 4.833 and 9.831 Å, with angles of 90.00, 90.00 and 90.00 degrees. The inequivalent atoms are Hg at (0.000, 0.000, 0.000), Os at (0.000, 0.500, 0.262) and Pt at (0.000, 0.000, 0.500).

The calculated total energy is -51.43 eV for the cell shown. The value obtained for the energy of formation from the pure elements is 772 meV/atom.

No. 4
VASP calculation (GGA-PBE) on an optimized crystal structure of Pm5Tl4O.

The space group is I4 (No. 79) and the conventional cell measures 9.739, 9.739 and 5.823 Å, with angles of 90.00, 90.00 and 90.00 degrees. The inequivalent atoms are Pm at (0.000, 0.000, 0.000), Pm at (0.126, 0.218, 0.497), Tl at (0.043, 0.341, 0.997) and O at (0.000, 0.000, 0.491).

The uncorrected formation energy comes out at -0.691 eV per atom. The calculated total energy is -90.18 eV for the cell shown.

No. 5
VASP calculation (GGA-PBE) on an optimized crystal structure of CeDyRuI.

The space group is R3m (No. 160, hexagonal axes) and the conventional cell measures 4.0280, 4.0280 and 24.1445 Å, with angles of 90.00, 90.00 and 120.00 degrees. The inequivalent atoms are Ce at (0.0000, 0.0000, 0.0000), Dy at (0.0000, 0.0000, 0.2106), Ru at (0.0000, 0.0000, 0.6125) and I at (0.0000, 0.0000, 0.4419).

The uncorrected formation energy comes out at -0.679 eV per atom. The calculated total energy is -72.24 eV for the cell shown.

No. 6
VASP calculation (GGA-PBE) on an optimized crystal structure of GdYCdPb.

The space group is F-43m (No. 216) and the conventional cell measures 7.608, 7.608 and 7.608 Å, with angles of 90.00, 90.00 and 90.00 degrees. The inequivalent atoms are Gd at (0.000, 0.000, 0.000), Y at (0.000, 0.000, 0.500), Cd at (0.250, 0.250, 0.750) and Pb at (0.250, 0.250, 0.250).

The calculated total energy is -107.35 eV for the cell shown. The value obtained for the energy of formation from the pure elements is -417 meV/atom.

No. 7
VASP calculation (GGA-PBE) on an optimized crystal structure of YTc2Os.

The space group is Pnma (No. 62) and the conventional cell measures 6.652, 4.382 and 9.774 Å, with angles of 90.00, 90.00 and 90.00 degrees. The inequivalent atoms are Y at (0.250, 0.250, 0.178), Tc at (0.051, 0.250, 0.848), Tc at (0.193, 0.750, 0.969) and Os at (0.058, 0.750, 0.407).

The relative energy among the computed polymorphs is 0.000 eV per atom. The calculated total energy is -153.91 eV for the cell shown. The value obtained for the energy of formation from the pure elements is -13 meV/atom.

No. 8
VASP calculation (GGA-PBE) on an optimized crystal structure of ZnTc.

The space group is P-3m1 (No. 164) and the conventional cell measures 2.7743, 2.7743 and 8.7867 Å, with angles of 90.00, 90.00 and 120.00 degrees. The inequivalent atoms are Zn at (0.3333, 0.6667, 0.3730) and Tc at (0.3333, 0.6667, 0.8832).

The relative energy among the computed polymorphs is 0.000 eV per atom. The calculated total energy is -23.44 eV for the cell shown. The value obtained for the energy of formation from the pure elements is -41 meV/atom.

No. 9
VASP calculation (GGA-PBE) on an optimized crystal structure of Ho4CdRu2Pt.

The space group is R-3m (No. 166, hexagonal axes) and the conventional cell measures 4.9181, 4.9181 and 24.2013 Å, with angles of 90.00, 90.00 and 120.00 degrees. The inequivalent atoms are Ho at (0.0000, 0.0000, 0.1206), Ho at (0.0000, 0.0000, 0.3717), Cd at (0.0000, 0.0000, 0.5000), Ru at (0.0000, 0.0000, 0.2487) and Pt at (0.0000, 0.0000, 0.0000).

The calculated total energy is -145.35 eV for the cell shown. The value obtained for the energy of formation from the pure elements is -579 meV/atom.

No. 10
VASP calculation (GGA-PBE) on an optimized crystal structure of PuGaPt4.

The space group is Cmcm (No. 63) and the conventional cell measures 3.923, 15.874 and 6.847 Å, with angles of 90.00, 90.00 and 90.00 degrees. The inequivalent atoms are Pu at (0.000, 0.104, 0.250), Ga at (0.000, 0.236, 0.750), Pt at (0.000, 0.075, 0.750), Pt at (0.000, 0.325, 0.045) and Pt at (0.000, 0.500, 0.000).

The relative energy among the computed polymorphs is 0.000 eV per atom. The calculated total energy is -181.63 eV for the cell shown. The value obtained for the energy of formation from the pure elements is -647 meV/atom.

No. 11
VASP calculation (GGA-PBE) on an optimized crystal structure of Ti2InCoH.

The space group is P4/mmm (No. 123) and the conventional cell measures 4.113, 4.113 and 3.877 Å, with angles of 90.00, 90.00 and 90.00 degrees. The inequivalent atoms are Ti at (0.000, 0.500, 0.000), In at (0.000, 0.000, 0.500), Co at (0.500, 0.500, 0.500) and H at (0.500, 0.500, 0.000).

The calculated total energy is -30.05 eV for the cell shown.

No. 12
VASP calculation (GGA-PBE) on an optimized crystal structure of LaZr2TlI.

The space group is P4/mmm (No. 123) and the conventional cell measures 5.305, 5.305 and 6.020 Å, with angles of 90.00, 90.00 and 90.00 degrees. The inequivalent atoms are La at (0.000, 0.000, 0.000), Zr at (0.000, 0.500, 0.500), Tl at (0.500, 0.500, 0.000) and I at (0.500, 0.500, 0.500).

The uncorrected formation energy comes out at 0.583 eV per atom. The calculated total energy is -23.02 eV for the cell shown.

No. 13
VASP calculation (GGA-PBE) on an optimized crystal structure of Li2CaHfB.

The space group is P4/mmm (No. 123) and the conventional cell measures 4.151, 4.151 and 4.822 Å, with angles of 90.00, 90.00 and 90.00 degrees. The inequivalent atoms are Li at (0.000, 0.500, 0.000), Ca at (0.000, 0.000, 0.000), Hf at (0.500, 0.500, 0.500) and B at (0.000, 0.000, 0.500).

The calculated total energy is -16.13 eV for the cell shown. The value obtained for the energy of formation from the pure elements is 1266 meV/atom.

No. 14
VASP calculation (GGA-PBE) on an optimized crystal structure of Mg2AlSe.

The space group is Cm (No. 8) and the conventional cell measures 10.559, 3.566 and 4.725 Å, with angles of 90.00, 111.34 and 90.00 degrees. The inequivalent atoms are Mg at (0.000, 0.000, 0.000), Mg at (0.219, 0.000, 0.651), Al at (0.459, 0.000, 0.470) and Se at (0.252, 0.500, 0.111).

The uncorrected formation energy comes out at -0.285 eV per atom. The relative energy among the computed polymorphs is 0.111 eV per atom. The calculated total energy is -23.11 eV for the cell shown.

No. 15
VASP calculation (GGA-PBE) on an optimized crystal structure of Sc2SnC.

The space group is Fm-3m (No. 225) and the conventional cell measures 6.681, 6.681 and 6.681 Å, with angles of 90.00, 90.00 and 90.00 degrees. The inequivalent atoms are Sc at (0.250, 0.250, 0.250), Sn at (0.000, 0.000, 0.000) and C at (0.000, 0.000, 0.500).

The calculated total energy is -95.14 eV for the cell shown. The value obtained for the energy of formation from the pure elements is 526 meV/atom.

No. 16
VASP calculation (GGA-PBE) on an optimized crystal structure of PuPaGaHg.

The space group is F-43m (No. 216) and the conventional cell measures 7.324, 7.324 and 7.324 Å, with angles of 90.00, 90.00 and 90.00 degrees. The inequivalent atoms are Pu at (0.000, 0.000, 0.000), Pa at (0.000, 0.000, 0.500), Ga at (0.250, 0.250, 0.750) and Hg at (0.250, 0.250, 0.250).

The calculated total energy is -108.72 eV for the cell shown. The value obtained for the energy of formation from the pure elements is -6 meV/atom.

No. 17
VASP calculation (GGA-PBE) on an optimized crystal structure of Dy4TlPd15.

The space group is P4/mmm (No. 123) and the conventional cell measures 4.116, 4.116 and 20.575 Å, with angles of 90.00, 90.00 and 90.00 degrees. The inequivalent atoms are Dy at (0.000, 0.000, 0.100), Dy at (0.000, 0.000, 0.301), Tl at (0.000, 0.000, 0.500), Pd at (0.000, 0.500, 0.000), Pd at (0.000, 0.500, 0.201), Pd at (0.000, 0.500, 0.401), Pd at (0.500, 0.500, 0.101), Pd at (0.500, 0.500, 0.301) and Pd at (0.500, 0.500, 0.500).

The calculated total energy is -113.63 eV for the cell shown. The value obtained for the energy of formation from the pure elements is -748 meV/atom.

No. 18
VASP calculation (GGA-PBE) on an optimized crystal structure of BaGaAs2.

The space group is I-42d (No. 122) and the conventional cell measures 7.671, 7.671 and 7.693 Å, with angles of 90.00, 90.00 and 90.00 degrees. The inequivalent atoms are Ba at (0.000, 0.000, 0.000), Ga at (0.000, 0.000, 0.500) and As at (0.164, 0.250, 0.625).

The calculated total energy is -66.43 eV for the cell shown. The value obtained for the energy of formation from the pure elements is -590 meV/atom.

No. 19
VASP calculation (GGA-PBE) on an optimized crystal structure of UMn2Co.

The space group is P4/mmm (No. 123) and the conventional cell measures 3.221, 3.221 and 5.410 Å, with angles of 90.00, 90.00 and 90.00 degrees. The inequivalent atoms are U at (0.000, 0.000, 0.000), Mn at (0.500, 0.500, 0.255) and Co at (0.000, 0.000, 0.500).

The calculated total energy is -35.87 eV for the cell shown. The value obtained for the energy of formation from the pure elements is 217 meV/atom.

No. 20
VASP calculation (GGA-PBE) on an optimized crystal structure of Ba6AgAs.

The space group is P-31c (No. 163) and the conventional cell measures 8.1191, 8.1191 and 15.5916 Å, with angles of 90.00, 90.00 and 120.00 degrees. The inequivalent atoms are Ba at (0.0017, 0.3268, 0.1223), Ag at (0.3333, 0.6667, 0.7500) and As at (0.0000, 0.0000, 0.0000).

The calculated total energy is -43.48 eV for the cell shown. The value obtained for the energy of formation from the pure elements is -338 meV/atom.

No. 21
VASP calculation (GGA-PBE) on an optimized crystal structure of Sr3CaAs2S.

The space group is Immm (No. 71) and the conventional cell measures 5.164, 5.376 and 16.436 Å, with angles of 90.00, 90.00 and 90.00 degrees. The inequivalent atoms are Sr at (0.000, 0.000, 0.000), Sr at (0.000, 0.500, 0.183), Ca at (0.000, 0.000, 0.500), As at (0.000, 0.500, 0.370) and S at (0.000, 0.500, 0.000).

The uncorrected formation energy comes out at -1.239 eV per atom. The calculated total energy is -58.29 eV for the cell shown.

No. 22
VASP calculation (GGA-PBE) on an optimized crystal structure of MnTc2Os.

The space group is Pmmm (No. 47) and the conventional cell measures 2.702, 3.817 and 5.365 Å, with angles of 90.00, 90.00 and 90.00 degrees. The inequivalent atoms are Mn at (0.000, 0.000, 0.000), Tc at (0.500, 0.500, 0.241) and Os at (0.000, 0.000, 0.500).

The relative energy among the computed polymorphs is 0.015 eV per atom. The calculated total energy is -40.84 eV for the cell shown. The value obtained for the energy of formation from the pure elements is 72 meV/atom.

No. 23
VASP calculation (GGA-PBE) on an optimized crystal structure of RbCoAsPt2.

The space group is P4/mmm (No. 123) and the conventional cell measures 4.706, 4.706 and 5.221 Å, with angles of 90.00, 90.00 and 90.00 degrees. The inequivalent atoms are Rb at (0.000, 0.000, 0.000), Co at (0.000, 0.000, 0.500), As at (0.500, 0.500, 0.000) and Pt at (0.000, 0.500, 0.500).

The calculated total energy is -19.65 eV for the cell shown. The value obtained for the energy of formation from the pure elements is 1030 meV/atom.

No. 24
VASP calculation (GGA-PBE) on an optimized crystal structure of CaTl3O.

The space group is Pm-3m (No. 221) and the conventional cell measures 5.995, 5.995 and 5.995 Å, with angles of 90.00, 90.00 and 90.00 degrees. The inequivalent atoms are Ca at (0.000, 0.000, 0.000), Tl at (0.000, 0.000, 0.500) and O at (0.500, 0.500, 0.500).

The uncorrected formation energy comes out at 0.839 eV per atom. The relative energy among the computed polymorphs is 1.095 eV per atom. The calculated total energy is -9.87 eV for the cell shown.

No. 25
VASP calculation (GGA-PBE) on an optimized crystal structure of KBaHg2Rh.

The space group is P4/mmm (No. 123) and the conventional cell measures 5.519, 5.519 and 5.559 Å, with angles of 90.00, 90.00 and 90.00 degrees. The inequivalent atoms are K at (0.000, 0.000, 0.000), Ba at (0.500, 0.500, 0.000), Hg at (0.000, 0.500, 0.500) and Rh at (0.500, 0.500, 0.500).

The calculated total energy is -11.80 eV for the cell shown. The value obtained for the energy of formation from the pure elements is -164 meV/atom.